Model A:
## BeAsRu2 (PBE-GGA)

Data for a geometry-optimized BeAsRu2 structure.

Its crystal system is cubic. For the spin magnetization, the calculation gives 0.0 μB per formula unit.

Cell: 5.8424 5.8424 5.8424 Å, 90.00 90.00 90.00°
With the nearest neighbours (Å) after each atom.
Space group Fm-3m (No. 225)
Symmetry-distinct sites (fractional):
Be 0.0000 0.0000 0.0000 x4  8 Ru 2.53
As 0.0000 0.0000 0.5000 x4  8 Ru 2.53
Ru 0.2500 0.2500 0.2500 x8  4 As 2.53, 4 Be 2.53



Model B:
## BeAsRu2 (PBE-GGA)

Data for a geometry-optimized BeAsRu2 structure.

Its crystal system is monoclinic. For the spin magnetization, the calculation gives 0.0 μB per formula unit.

Cell: 2.8530 3.8816 4.9179 Å, 90.00 90.40 90.00°
With the nearest neighbours (Å) after each atom.
Space group P2/m (No. 10)
Symmetry-distinct sites (fractional):
Be 0.0000 0.0000 0.0000 x1  4 Ru 2.38
As 0.5000 0.0000 0.5000 x1  4 Ru 2.44
Ru 0.2623 0.5000 0.7679 x2  2 Be 2.38, 2 As 2.44, 1 Ru 2.65



Least stable of them? model B.